Record 1
# Ce2BeZnPd6

A relaxed Ce2BeZnPd6 crystal (PBE, Alexandria).

Values from the calculation:
* magnetic moment: 0.190 μB/atom
* VASP energy: -5.263 eV per atom
* formation energy from the elements: -0.461 eV per atom
* SG: Fm-3m (225)

a b c (Å): 6.443 6.443 6.443
angles (deg): 60.00 60.00 90.00
Element x y z (fractional)
Pd1 0.735 0.735 0.000
Pd2 0.265 0.265 0.000
Pd3 0.265 0.265 0.470
Pd4 0.735 0.265 0.000
Pd5 0.265 0.735 0.000
Pd6 0.735 0.735 0.530
Ce1 0.750 0.250 0.500
Ce2 0.250 0.750 0.500
Be1 0.500 0.500 0.000
Zn1 0.000 0.000 0.000

***

Record 2
# CeBe2ZnPd5

A relaxed CeBe2ZnPd5 crystal (PBE, Alexandria).

Values from the calculation:
* magnetic moment: 0.079 μB/atom
* VASP energy: -5.007 eV per atom
* formation energy from the elements: -0.493 eV per atom
* SG: P4/mmm (123)

a b c (Å): 4.444 4.444 7.025
angles (deg): 90.00 90.00 90.00
Element x y z (fractional)
Be1 0.500 0.500 0.162
Be2 0.500 0.500 0.838
Pd1 0.000 0.500 0.789
Pd2 0.500 0.500 0.500
Pd3 0.000 0.500 0.211
Pd4 0.500 0.000 0.211
Pd5 0.500 0.000 0.789
Ce1 0.000 0.000 0.500
Zn1 0.000 0.000 0.000

***

Record 3
# Ce2PmBe

A relaxed Ce2PmBe crystal (PBE, Alexandria).

Values from the calculation:
* magnetic moment: 0.001 μB/atom
* VASP energy: -4.340 eV per atom
* formation energy from the elements: 0.747 eV per atom
* SG: R-3m (166)

a b c (Å): 3.151 3.151 12.101
angles (deg): 82.52 82.52 60.00
Element x y z (fractional)
Ce1 0.081 0.081 0.758
Ce2 0.919 0.919 0.242
Be1 0.000 0.000 0.000
Pm1 0.500 0.500 0.500

***

Record 4
# CePm2Be2Pt7

A relaxed CePm2Be2Pt7 crystal (PBE, Alexandria).

Values from the calculation:
* magnetic moment: 0.025 μB/atom
* VASP energy: -6.402 eV per atom
* formation energy from the elements: -0.971 eV per atom
* SG: C2/m (12)

a b c (Å): 4.071 4.071 13.359
angles (deg): 84.09 84.09 89.52
Element x y z (fractional)
Pt1 0.636 0.636 0.575
Pt2 0.444 0.942 0.167
Pt3 0.364 0.364 0.425
Pt4 0.942 0.444 0.167
Pt5 0.500 0.500 0.000
Pt6 0.556 0.058 0.833
Pt7 0.058 0.556 0.833
Ce1 0.000 0.000 0.000
Be1 0.588 0.588 0.747
Be2 0.412 0.412 0.253
Pm1 0.109 0.109 0.648
Pm2 0.891 0.891 0.352

***

Record 5
# CePmBeSi

A relaxed CePmBeSi crystal (PBE, Alexandria).

Values from the calculation:
* magnetic moment: 0.196 μB/atom
* VASP energy: -5.103 eV per atom
* SG: F-43m (216)
* formation energy from raw total energies: -0.58 eV per formula unit

a b c (Å): 4.995 4.995 4.995
angles (deg): 60.00 60.00 60.00
Element x y z (fractional)
Si1 0.250 0.250 0.250
Be1 0.750 0.750 0.750
Ce1 0.000 0.000 0.000
Pm1 0.500 0.500 0.500

***

Record 6
# CePmBeZn

A relaxed CePmBeZn crystal (PBE, Alexandria).

Values from the calculation:
* magnetic moment: 0.176 μB/atom
* VASP energy: -3.906 eV per atom
* formation energy from the elements: 0.015 eV per atom
* SG: F-43m (216)

a b c (Å): 5.035 5.035 5.035
angles (deg): 60.00 60.00 60.00
Element x y z (fractional)
Zn1 0.000 0.000 0.000
Ce1 0.250 0.250 0.250
Be1 0.500 0.500 0.500
Pm1 0.750 0.750 0.750